#1
Below is a geometry-optimized SbIr3Se structure, with properties calculated at the PBE level.

Properties
The crystal system is cubic. Its symmetry is Pm-3m.

Cell lengths 4.653, 4.653, 4.653 Å; angles 90.00, 90.00, 90.00 degrees
Positions (direct):
Sb 0.500 0.500 0.500
Ir 0.000 0.500 0.000
Ir 0.000 0.000 0.500
Ir 0.500 0.000 0.000
Se 0.000 0.000 0.000

=====

#2
Below is a geometry-optimized SbIr3Se structure, with properties calculated at the PBE level.

Properties
The crystal system is cubic. Its symmetry is Pm-3m.

Cell lengths 4.875, 4.875, 4.875 Å; angles 90.00, 90.00, 90.00 degrees
Positions (direct):
Sb 0.000 0.000 0.000
Ir 0.000 0.500 0.000
Ir 0.000 0.000 0.500
Ir 0.500 0.000 0.000
Se 0.500 0.500 0.500

=====

Most stable: #1. Least stable: #2.

=====

#1
Below is a geometry-optimized Sb2TeIrSe structure, with properties calculated at the PBE level.

Properties
The crystal system is tetragonal. Its symmetry is P4/mmm.

Cell lengths 5.261, 5.261, 5.212 Å; angles 90.00, 90.00, 90.00 degrees
Positions (direct):
Sb 0.000 0.500 0.000
Sb 0.500 0.000 0.000
Ir 0.500 0.500 0.500
Te 0.000 0.000 0.500
Se 0.000 0.000 0.000

=====

#2
Below is a geometry-optimized Sb2TeIrSe structure, with properties calculated at the PBE level.

Properties
The crystal system is tetragonal. Its symmetry is P4/mmm.

Cell lengths 5.082, 5.082, 5.493 Å; angles 90.00, 90.00, 90.00 degrees
Positions (direct):
Sb 0.000 0.500 0.000
Sb 0.500 0.000 0.000
Ir 0.000 0.000 0.000
Te 0.000 0.000 0.500
Se 0.500 0.500 0.500

=====

Most stable: #2. Least stable: #1.

=====

#1
Below is a geometry-optimized SbTe2IrSe structure, with properties calculated at the PBE level.

Properties
The crystal system is tetragonal. Its symmetry is P4/mmm.

Cell lengths 5.261, 5.261, 5.315 Å; angles 90.00, 90.00, 90.00 degrees
Positions (direct):
Sb 0.000 0.000 0.500
Ir 0.500 0.500 0.500
Te 0.000 0.500 0.000
Te 0.500 0.000 0.000
Se 0.000 0.000 0.000

=====

#2
Below is a geometry-optimized SbTe2IrSe structure, with properties calculated at the PBE level.

Properties
The crystal system is tetragonal. Its symmetry is P4/mmm.

Cell lengths 5.282, 5.282, 5.104 Å; angles 90.00, 90.00, 90.00 degrees
Positions (direct):
Sb 0.000 0.000 0.500
Ir 0.000 0.000 0.000
Te 0.000 0.500 0.000
Te 0.500 0.000 0.000
Se 0.500 0.500 0.500

=====

Most stable: #2. Least stable: #1.